[1]
VASP calculation (PBE) on a relaxed Y6CoTe3 crystal.

Cell and atoms, written as extended XYZ:
```
20
Lattice="3.971 0.000 0.000 0.000 10.644 -3.637 0.000 0.674 13.164" Properties=species:S:1:pos:R:3 pbc="T T T"
Y 2.978 5.528 6.851
Y 0.993 5.790 2.676
Y 2.978 9.814 -1.551
Y 0.993 1.504 11.078
Y 2.978 4.695 -0.161
Y 0.993 6.623 9.688
Y 2.978 8.521 1.558
Y 0.993 2.797 7.969
Y 2.978 1.259 5.279
Y 0.993 10.059 4.248
Y 2.978 9.095 7.126
Y 0.993 2.223 2.401
Co 2.978 0.950 9.093
Co 0.993 10.368 0.435
Te 2.978 4.219 9.936
Te 0.993 7.099 -0.409
Te 2.978 7.497 4.459
Te 0.993 3.821 5.068
Te 2.978 1.668 0.166
Te 0.993 9.650 9.361
```

Computed properties:
Its formation energy (no corrections) is -757.3 meV/atom. The calculation puts the total moment at 0.00 μB/atom. The space-group type is P2_1/m, No. 11.

---

[2]
VASP calculation (PBE) on a relaxed YCo3Te crystal.

Cell and atoms, written as extended XYZ:
```
5
Lattice="4.622 0.000 0.000 0.000 4.622 0.000 0.000 0.000 4.622" Properties=species:S:1:pos:R:3 pbc="T T T"
Y 2.311 2.311 2.311
Te 0.000 0.000 0.000
Co 0.000 2.311 0.000
Co 0.000 0.000 2.311
Co 2.311 0.000 0.000
```

Computed properties:
Its formation energy (no corrections) is 488.2 meV/atom. The calculation puts the total moment at 0.48 μB/atom. The space-group type is Pm-3m, No. 221. The calculation puts the relative energy among the computed polymorphs at 0 meV/atom.

---

[3]
VASP calculation (PBE) on a relaxed YCoTe2 crystal.

Cell and atoms, written as extended XYZ:
```
4
Lattice="3.054 -3.590 2.016 2.858 1.083 4.116 -1.148 -2.088 4.539" Properties=species:S:1:pos:R:3 pbc="T T T"
Y 2.382 -2.297 5.335
Te 1.191 -1.149 2.668
Te 3.573 -3.446 8.003
Co 0.000 0.000 0.000
```

Computed properties:
Its formation energy (no corrections) is -277.5 meV/atom. The calculation puts the total moment at 0.45 μB/atom. The space-group type is Fm-3m, No. 225.